[1]
# Sn4Sb3P PBE-GGA relaxed
data_Sn4Sb3P
_chemical_formula_sum 'Sn12 Sb9 P3'
_symmetry_space_group_name_H-M 'R 3 m'
_symmetry_Int_Tables_number 160
_symmetry_space_group_name_Hall 'R 3 -2"'
_cell_length_a 4.3444
_cell_length_b 4.3444
_cell_length_c 57.6312
_cell_angle_alpha 90.00
_cell_angle_beta 90.00
_cell_angle_gamma 120.00
loop_
_atom_site_label
_atom_site_fract_x
_atom_site_fract_y
_atom_site_fract_z
Sn1 0.0000 0.0000 0.0000
Sn2 0.0000 0.0000 0.2350
Sn3 0.0000 0.0000 0.5043
Sn4 0.0000 0.0000 0.7413
Sb1 0.0000 0.0000 0.4318
Sb2 0.0000 0.0000 0.6919
Sb3 0.0000 0.0000 0.9253
P1 0.0000 0.0000 0.1909
# * D(E_F): 0.220 states/eV/f.u.
# * formation energy from raw total energies: 9.9 kJ per mole of atoms
# * M_tot: 0.0000 μB per atom

=====

[2]
# SnSb2P PBE-GGA relaxed
data_SnSb2P
_chemical_formula_sum 'Sn4 Sb8 P4'
_symmetry_space_group_name_H-M 'F m -3 m'
_symmetry_Int_Tables_number 225
_symmetry_space_group_name_Hall '-F 4 2 3'
_cell_length_a 7.289
_cell_length_b 7.289
_cell_length_c 7.289
_cell_angle_alpha 90.00
_cell_angle_beta 90.00
_cell_angle_gamma 90.00
loop_
_atom_site_label
_atom_site_fract_x
_atom_site_fract_y
_atom_site_fract_z
Sn1 0.000 0.000 0.000
Sb1 0.250 0.250 0.250
P1 0.000 0.000 0.500
# * ΔE to the lowest computed polymorph: 0.48 eV per formula unit
# * D(E_F): 3.418 states/eV/f.u.
# * formation energy from raw total energies: 39.3 kJ per mole of atoms
# * M_tot: 0.0000 μB per atom